The following is a DFT calculation (GGA-PBE) of a relaxed structure of ErHRh.

abc: 5.4741 5.4741 5.2588
angles: 100.51 100.51 34.04
Fractional positions:
Er 0.0000 0.0000 0.0000
Er 0.7030 0.7030 0.5887
H 0.3411 0.3411 0.8603
H 0.6887 0.6887 0.0858
Rh 0.2743 0.2743 0.1446
Rh 0.9693 0.9693 0.4896

Properties
Space group: Cm (8)
Raw total energy (eV/cell): -33.8
Offset from the most stable computed form (meV/atom): 0
Magnetization (μB/cell): 0.00